1.
Material: Pr12Sm2Dy5
Method: DFT, PBE
State: optimized geometry

extended XYZ file:
```
19
Lattice="7.828 -5.277 0.000 7.828 5.277 0.000 -0.378 0.000 8.120" Properties=species:S:1:pos:R:3 pbc="T T T"
Pr 0.751 0.000 1.732
Pr 4.625 2.385 5.745
Pr 6.117 2.886 0.907
Pr 9.160 2.886 7.214
Pr 5.475 0.000 3.132
Pr 10.652 2.385 2.375
Pr 4.625 -2.385 5.745
Pr 9.802 0.000 4.988
Pr 6.117 -2.886 0.907
Pr 9.160 -2.886 7.214
Pr 10.652 -2.385 2.375
Pr 14.526 0.000 6.388
Sm 7.638 2.710 4.060
Sm 7.638 -2.710 4.060
Dy 2.183 0.000 4.799
Dy 4.008 0.000 0.105
Dy 7.828 0.000 0.000
Dy 11.269 0.000 8.016
Dy 13.094 0.000 3.321
```

Space-group type: C2/m
Formation energy: 125 meV/atom
Total moment: 0.00 μB per atom
Calculated volume: 35.30 Å³ per atom
Energy above the most stable polymorph in this dataset: 5 meV/atom



2.
Material: Pr5SmDy2
Method: DFT, PBE
State: optimized geometry

extended XYZ file:
```
16
Lattice="7.311 0.000 0.000 0.000 14.624 0.000 0.000 0.000 5.179" Properties=species:S:1:pos:R:3 pbc="T T T"
Pr 0.000 0.000 0.000
Pr 7.310 3.667 0.000
Pr 0.001 10.957 0.000
Pr 1.821 5.492 2.589
Pr 1.834 12.804 2.589
Pr 3.654 3.645 0.000
Pr 3.655 7.312 0.000
Pr 3.656 10.979 0.000
Pr 5.476 1.820 2.589
Pr 5.489 9.131 2.589
Sm 0.000 7.312 0.000
Sm 3.655 0.000 0.000
Dy 1.830 1.818 2.589
Dy 1.825 9.130 2.589
Dy 5.485 5.494 2.589
Dy 5.481 12.806 2.589
```

Space-group type: Pbam
Formation energy: 13 meV/atom
Total moment: 0.00 μB per atom
Calculated volume: 34.60 Å³ per atom
Energy above the most stable polymorph in this dataset: 0 meV/atom



3.
Material: Pr3Sm2Dy6
Method: DFT, PBE
State: optimized geometry

extended XYZ file:
```
11
Lattice="-2.399 2.399 16.644 2.399 -2.399 16.644 2.399 2.399 -16.644" Properties=species:S:1:pos:R:3 pbc="T T T"
Pr 0.000 0.000 0.000
Pr 0.000 0.000 6.798
Pr 0.000 0.000 26.490
Sm 0.000 0.000 15.111
Sm 0.000 0.000 18.177
Dy 2.399 0.000 3.996
Dy 0.000 0.000 10.257
Dy 2.399 0.000 12.648
Dy 0.000 2.399 3.996
Dy 0.000 0.000 23.031
Dy 0.000 2.399 12.648
```

Space-group type: I4/mmm
Formation energy: 258 meV/atom
Total moment: 0.00 μB per atom
Calculated volume: 34.84 Å³ per atom
Energy above the most stable polymorph in this dataset: 65 meV/atom



4.
Material: Pr7Sm2Dy
Method: DFT, PBE
State: optimized geometry

extended XYZ file:
```
10
Lattice="4.443 -8.438 0.000 4.443 8.438 0.000 0.000 0.000 5.610" Properties=species:S:1:pos:R:3 pbc="T T T"
Pr 0.000 0.000 0.000
Pr 2.838 1.882 0.000
Pr 4.443 3.683 2.805
Pr 2.838 -1.882 0.000
Pr 6.047 1.882 0.000
Pr 4.443 -3.683 2.805
Pr 6.047 -1.882 0.000
Sm 4.443 4.982 0.000
Sm 4.443 -4.982 0.000
Dy 4.443 0.000 2.805
```

Space-group type: Cmmm
Formation energy: 615 meV/atom
Total moment: 0.00 μB per atom
Calculated volume: 42.06 Å³ per atom
Energy above the most stable polymorph in this dataset: 447 meV/atom



What is the formula in the fourth record? Pr7Sm2Dy